P:
Material: PrMg3Ru
Method: DFT, PBE
State: optimized geometry

```
data_PrMg3Ru
_chemical_formula_sum 'Pr2 Mg6 Ru2'
_space_group_name_H-M_alt 'P 1 21/m 1'
_space_group_IT_number 11
_cell_length_a 5.487
_cell_length_b 6.011
_cell_length_c 7.397
_cell_angle_alpha 90.00
_cell_angle_beta 107.57
_cell_angle_gamma 90.00
loop_
_space_group_symop_operation_xyz
'x,y,z'
'-x,-y,-z'
'-x,y+1/2,-z'
'x,-y+1/2,z'
loop_
_atom_site_label
_atom_site_type_symbol
_atom_site_fract_x
_atom_site_fract_y
_atom_site_fract_z
Pr1 Pr 0.100 0.250 0.407
Mg1 Mg 0.025 0.250 0.880
Mg2 Mg 0.490 0.000 0.205
Ru1 Ru 0.338 0.750 0.468
```

Q:
Material: PrMg3Ru
Method: DFT, PBE
State: optimized geometry

```
data_PrMg3Ru
_chemical_formula_sum 'Pr2 Mg6 Ru2'
_space_group_name_H-M_alt 'A m m 2'
_space_group_IT_number 38
_cell_length_a 4.711
_cell_length_b 4.705
_cell_length_c 10.982
_cell_angle_alpha 90.00
_cell_angle_beta 90.00
_cell_angle_gamma 90.00
loop_
_space_group_symop_operation_xyz
'x,y,z'
'-x,-y,z'
'-x,y,z'
'x,-y,z'
'x,y+1/2,z+1/2'
'-x,-y+1/2,z+1/2'
'-x,y+1/2,z+1/2'
'x,-y+1/2,z+1/2'
loop_
_atom_site_label
_atom_site_type_symbol
_atom_site_fract_x
_atom_site_fract_y
_atom_site_fract_z
Pr1 Pr 0.000 0.000 0.000
Mg1 Mg 0.000 0.000 0.287
Mg2 Mg 0.500 0.000 0.503
Mg3 Mg 0.500 0.000 0.768
Ru1 Ru 0.000 0.000 0.643
```

Which structure wins on stability? P wins.